Record 1
The following is a DFT calculation (PBE) of an optimized crystal structure of Sm3PdO6.

Summary:
theoretical density: 7.6 g/cm3
raw total energy: -7.500 eV per atom
volume: 14.2 Å³/atom
magnetization: 1.00 μB per formula unit

Cell: 7.219 7.219 5.583 Å, 90.00 90.00 101.60°
Atoms (fractional coordinates):
O1 0.225 0.775 0.348
O2 0.985 0.015 0.251
O3 0.674 0.645 0.812
O4 0.600 0.105 0.340
O5 0.645 0.674 0.312
O6 0.400 0.895 0.840
O7 0.015 0.985 0.751
O8 0.775 0.225 0.848
O9 0.326 0.355 0.312
O10 0.105 0.600 0.840
O11 0.895 0.400 0.340
O12 0.355 0.326 0.812
Sm1 0.089 0.319 0.035
Sm2 0.681 0.911 0.035
Sm3 0.603 0.397 0.093
Sm4 0.911 0.681 0.535
Sm5 0.319 0.089 0.535
Sm6 0.397 0.603 0.593
Pd1 0.862 0.138 0.539
Pd2 0.138 0.862 0.039



Record 2
The following is a DFT calculation (PBE) of an optimized crystal structure of LaTlCo2.

Summary:
theoretical density: 9.4 g/cm3
raw total energy: -4.903 eV per atom
volume: 20.4 Å³/atom
magnetization: 3.47 μB per formula unit

Cell: 4.871 4.871 4.871 Å, 60.00 60.00 60.00°
Atoms (fractional coordinates):
Tl1 0.500 0.500 0.500
Co1 0.000 0.000 0.000
Co2 0.750 0.750 0.750
La1 0.250 0.250 0.250



Record 3
The following is a DFT calculation (PBE) of an optimized crystal structure of Pm2Pr2O5.

Summary:
theoretical density: 7.2 g/cm3
volume: 16.7 Å³/atom
energy relative to the lowest polymorph listed for this composition: 0.000 eV/atom
magnetization: 1.10 μB per formula unit

Cell: 7.343 4.529 4.529 Å, 90.00 90.00 90.00°
Atoms (fractional coordinates):
O1 0.775 0.000 0.500
O2 0.225 0.500 0.000
O3 0.775 0.500 0.000
O4 0.500 0.500 0.500
O5 0.225 0.000 0.500
Pm1 0.214 0.500 0.500
Pm2 0.786 0.500 0.500
Pr1 0.500 0.000 0.000
Pr2 0.000 0.000 0.000